Record 1
Entry from Alexandria via LeMat-Bulk: crystalline Er8Cu2Ir at its relaxed geometry (PBE).

Calculated values
The total DFT energy (no corrections) is -55.4 eV per cell. As for the symmetry: Cm. The volume is 26.356 Å³ per atom. Its total moment is 0.00 μB/cell.

Cell lengths 5.8615, 7.6978, 7.6978 Å; angles 116.06, 101.29, 101.29 degrees
Closest atoms and distances in Å follow each position.
Atoms (fractional coordinates):
Cu 0.4937 0.3113 0.7038  5 Er 2.78-3.09
Cu 0.4937 0.7038 0.3113  5 Er 2.78-3.09
Er 0.3626 0.6598 0.9107  2 Cu 2.80-2.88, 1 Ir 2.96
Er 0.3626 0.9107 0.6598  2 Cu 2.80-2.88, 1 Ir 2.96
Er 0.9854 0.2032 0.8005  1 Ir 2.82
Er 0.5888 0.0924 0.3436  2 Cu 2.78-2.82, 1 Ir 2.97
Er 0.9854 0.8005 0.2032  1 Ir 2.82
Er 0.5888 0.3436 0.0924  2 Cu 2.78-2.82, 1 Ir 2.97
Er 0.1787 0.3635 0.3635  1 Ir 2.90, 2 Cu 3.12
Er 0.7989 0.6418 0.6418  1 Ir 2.93, 2 Cu 3.09
Ir 0.1611 0.0032 0.0032  8 Er 2.82-2.97

Record 2
Entry from Alexandria via LeMat-Bulk: crystalline ErCuIr4 at its relaxed geometry (PBE).

Calculated values
The total DFT energy (no corrections) is -45.5 eV per cell. As for the symmetry: F-43m. The volume is 16.920 Å³ per atom. Its total moment is 0.00 μB/cell.

Cell lengths 5.2363, 5.2363, 5.2363 Å; angles 60.00, 60.00, 60.00 degrees
Closest atoms and distances in Å follow each position.
Atoms (fractional coordinates):
Ir 0.6254 0.1239 0.6254  6 Ir 2.61-2.63
Ir 0.6254 0.6254 0.1239  6 Ir 2.61-2.63
Ir 0.1239 0.6254 0.6254  6 Ir 2.61-2.63
Ir 0.6254 0.6254 0.6254  6 Ir 2.61-2.63
Cu 0.0000 0.0000 0.0000  12 Ir 3.07, 4 Er 3.21
Er 0.2500 0.2500 0.2500  12 Ir 3.07, 4 Cu 3.21

Record 3
Entry from Alexandria via LeMat-Bulk: crystalline ErCuIr at its relaxed geometry (PBE).

Calculated values
The total DFT energy (no corrections) is -38.2 eV per cell. As for the symmetry: I4/mmm. The volume is 18.099 Å³ per atom. Its total moment is 0.00 μB/cell.

Cell lengths 3.9361, 3.9361, 7.5413 Å; angles 105.11, 105.13, 90.03 degrees
Closest atoms and distances in Å follow each position.
Atoms (fractional coordinates):
Cu 0.5000 0.5000 0.5000  4 Ir 2.60, 4 Cu 2.78
Cu 0.0000 0.0000 0.5000  4 Ir 2.60, 4 Cu 2.78
Er 0.8291 0.3291 0.1582  5 Ir 2.87-2.91, 4 Cu 3.10
Er 0.1709 0.6709 0.8418  5 Ir 2.87-2.91, 4 Cu 3.10
Ir 0.6213 0.1213 0.7426  4 Cu 2.60, 4 Er 2.87
Ir 0.3787 0.8787 0.2574  4 Cu 2.60, 4 Er 2.87

Record 4
Entry from Alexandria via LeMat-Bulk: crystalline Er2CuIr at its relaxed geometry (PBE).

Calculated values
The total DFT energy (no corrections) is -49.5 eV per cell. As for the symmetry: P2_1/m. The volume is 21.018 Å³ per atom. Its total moment is 0.00 μB/cell.

Cell lengths 4.2825, 5.5309, 7.5691 Å; angles 110.30, 90.00, 90.00 degrees
Closest atoms and distances in Å follow each position.
Atoms (fractional coordinates):
Cu 0.2500 0.3413 0.2108  2 Ir 2.67, 7 Er 2.90-2.97
Cu 0.7500 0.6587 0.7892  2 Ir 2.67, 7 Er 2.90-2.97
Er 0.2500 0.7855 0.5641  4 Ir 2.91-3.00, 3 Cu 2.94-2.97
Er 0.7500 0.2274 0.9245  3 Ir 2.89-2.91, 4 Cu 2.90-2.95
Er 0.2500 0.7726 0.0755  3 Ir 2.89-2.91, 4 Cu 2.90-2.95
Er 0.7500 0.2145 0.4359  4 Ir 2.91-3.00, 3 Cu 2.94-2.97
Ir 0.2500 0.3506 0.7144  2 Cu 2.67, 6 Er 2.89-2.93
Ir 0.7500 0.6494 0.2856  2 Cu 2.67, 6 Er 2.89-2.93

Record 5
Entry from Alexandria via LeMat-Bulk: crystalline Er2CuIr at its relaxed geometry (PBE).

Calculated values
The total DFT energy (no corrections) is -24.5 eV per cell. As for the symmetry: P4/mmm. The volume is 19.902 Å³ per atom. Its total moment is 0.00 μB/cell.

Cell lengths 3.4706, 4.7894, 4.7894 Å; angles 90.00, 90.00, 90.00 degrees
Closest atoms and distances in Å follow each position.
Atoms (fractional coordinates):
Cu 0.5000 0.0000 0.0000  8 Er 2.96
Ir 0.5000 0.5000 0.5000  8 Er 2.96
Er 0.0000 0.5000 0.0000  4 Cu 2.96, 4 Ir 2.96
Er 0.0000 0.0000 0.5000  4 Ir 2.96, 4 Cu 2.96

Record 6
Entry from Alexandria via LeMat-Bulk: crystalline Er5Cu4Ir at its relaxed geometry (PBE).

Calculated values
The total DFT energy (no corrections) is -52.1 eV per cell. As for the symmetry: P4/mmm. The volume is 20.252 Å³ per atom. Its total moment is 0.00 μB/cell.

Cell lengths 3.4251, 3.4251, 17.2637 Å; angles 90.00, 90.00, 90.00 degrees
Closest atoms and distances in Å follow each position.
Atoms (fractional coordinates):
Cu 0.0000 0.0000 0.2005  8 Er 2.95-3.02
Cu 0.0000 0.0000 0.7995  8 Er 2.95-3.02
Cu 0.0000 0.0000 0.4002  8 Er 2.97-2.99
Cu 0.0000 0.0000 0.5998  8 Er 2.97-2.99
Er 0.5000 0.5000 0.7015  8 Cu 2.95-2.99
Er 0.5000 0.5000 0.2985  8 Cu 2.95-2.99
Er 0.5000 0.5000 0.9042  4 Ir 2.93, 4 Cu 3.02
Er 0.5000 0.5000 0.5000  8 Cu 2.97
Er 0.5000 0.5000 0.0958  4 Ir 2.93, 4 Cu 3.02
Ir 0.0000 0.0000 0.0000  8 Er 2.93

Record 7
Entry from Alexandria via LeMat-Bulk: crystalline Er8Cu2Ir at its relaxed geometry (PBE).

Calculated values
The total DFT energy (no corrections) is -56.8 eV per cell. As for the symmetry: C2/m. The volume is 24.824 Å³ per atom. Its total moment is 0.00 μB/cell.

Cell lengths 5.0380, 6.6108, 8.9183 Å; angles 105.90, 106.41, 90.00 degrees
Closest atoms and distances in Å follow each position.
Atoms (fractional coordinates):
Er 0.5904 0.4406 0.1808  1 Ir 2.88
Er 0.2006 0.3245 0.4013  1 Cu 2.72
Er 0.0328 0.7922 0.0655  1 Cu 2.77, 2 Ir 3.00
Er 0.7994 0.6755 0.5987  1 Cu 2.72
Er 0.9672 0.2078 0.9345  1 Cu 2.77, 2 Ir 3.00
Er 0.6665 0.9780 0.3329  1 Cu 2.74, 1 Ir 2.89
Er 0.4096 0.5594 0.8192  1 Ir 2.88
Er 0.3335 0.0220 0.6671  1 Cu 2.74, 1 Ir 2.89
Cu 0.1847 0.7226 0.3695  3 Er 2.72-2.77
Cu 0.8153 0.2774 0.6305  3 Er 2.72-2.77
Ir 0.5000 0.0000 0.0000  8 Er 2.88-3.00

Record 8
Entry from Alexandria via LeMat-Bulk: crystalline Er5CuIr4 at its relaxed geometry (PBE).

Calculated values
The total DFT energy (no corrections) is -70.0 eV per cell. As for the symmetry: P4/mmm. The volume is 19.809 Å³ per atom. Its total moment is 0.00 μB/cell.

Cell lengths 3.3838, 3.3838, 17.3008 Å; angles 90.00, 90.00, 90.00 degrees
Closest atoms and distances in Å follow each position.
Atoms (fractional coordinates):
Er 0.5000 0.5000 0.8960  4 Ir 2.91, 4 Cu 2.99
Er 0.5000 0.5000 0.1040  4 Ir 2.91, 4 Cu 2.99
Er 0.5000 0.5000 0.3013  8 Ir 2.94-2.96
Er 0.5000 0.5000 0.5000  8 Ir 2.95
Er 0.5000 0.5000 0.6987  8 Ir 2.94-2.96
Ir 0.0000 0.0000 0.7998  8 Er 2.91-2.96
Ir 0.0000 0.0000 0.5996  8 Er 2.94-2.95
Ir 0.0000 0.0000 0.2002  8 Er 2.91-2.96
Ir 0.0000 0.0000 0.4004  8 Er 2.94-2.95
Cu 0.0000 0.0000 0.0000  8 Er 2.99

Record 9
Entry from Alexandria via LeMat-Bulk: crystalline Er3CuIr8 at its relaxed geometry (PBE).

Calculated values
The total DFT energy (no corrections) is -95.3 eV per cell. As for the symmetry: R3m. The volume is 17.524 Å³ per atom. Its total moment is 0.00 μB/cell.

Cell lengths 5.3003, 5.3003, 9.1690 Å; angles 73.20, 73.20, 60.00 degrees
Closest atoms and distances in Å follow each position.
Atoms (fractional coordinates):
Ir 0.5609 0.0608 0.3176  6 Ir 2.65, 1 Cu 2.83
Ir 0.3111 0.3111 0.0668  6 Ir 2.65-2.66
Ir 0.0608 0.0608 0.3176  6 Ir 2.65, 1 Cu 2.83
Ir 0.5617 0.0614 0.8152  6 Ir 2.63-2.66
Ir 0.0614 0.5617 0.8152  6 Ir 2.63-2.66
Ir 0.8106 0.8106 0.5682  6 Ir 2.63-2.65
Ir 0.0608 0.5609 0.3176  6 Ir 2.65, 1 Cu 2.83
Ir 0.5617 0.5617 0.8152  6 Ir 2.63-2.66
Cu 0.1358 0.1358 0.5925  6 Ir 2.83-3.07, 3 Er 3.13
Er 0.6235 0.6235 0.1296  12 Ir 3.11-3.12, 4 Er 3.33-3.36
Er 0.4940 0.4940 0.5180  12 Ir 2.99-3.17, 3 Cu 3.13
Er 0.0079 0.0079 0.9764  12 Ir 2.99-3.32, 1 Cu 3.32, 3 Er 3.33

Record 10
Entry from Alexandria via LeMat-Bulk: crystalline Er2CuIr2 at its relaxed geometry (PBE).

Calculated values
The total DFT energy (no corrections) is -34.5 eV per cell. As for the symmetry: Immm. The volume is 19.435 Å³ per atom. Its total moment is 0.00 μB/cell.

Cell lengths 4.1914, 5.6979, 5.3911 Å; angles 121.90, 112.88, 90.00 degrees
Closest atoms and distances in Å follow each position.
Atoms (fractional coordinates):
Er 0.7941 0.2941 0.5881  6 Ir 2.85-2.98, 2 Cu 3.18
Er 0.2059 0.7059 0.4119  6 Ir 2.85-2.98, 2 Cu 3.18
Cu 0.0000 0.0000 0.0000  4 Ir 2.61
Ir 0.5000 0.2723 0.0000  1 Ir 2.59, 2 Cu 2.61, 2 Er 2.85
Ir 0.5000 0.7277 0.0000  1 Ir 2.59, 2 Cu 2.61, 2 Er 2.85

Repeat the tenth record exactly.
Entry from Alexandria via LeMat-Bulk: crystalline Er2CuIr2 at its relaxed geometry (PBE).

Calculated values
The total DFT energy (no corrections) is -34.5 eV per cell. As for the symmetry: Immm. The volume is 19.435 Å³ per atom. Its total moment is 0.00 μB/cell.

Cell lengths 4.1914, 5.6979, 5.3911 Å; angles 121.90, 112.88, 90.00 degrees
Closest atoms and distances in Å follow each position.
Atoms (fractional coordinates):
Er 0.7941 0.2941 0.5881  6 Ir 2.85-2.98, 2 Cu 3.18
Er 0.2059 0.7059 0.4119  6 Ir 2.85-2.98, 2 Cu 3.18
Cu 0.0000 0.0000 0.0000  4 Ir 2.61
Ir 0.5000 0.2723 0.0000  1 Ir 2.59, 2 Cu 2.61, 2 Er 2.85
Ir 0.5000 0.7277 0.0000  1 Ir 2.59, 2 Cu 2.61, 2 Er 2.85

Which value of volume does entry 9 give?
17.524 Å³ per atom

Which of these has the lowest total DFT energy (no corrections)?
Er3CuIr8

Which value of total DFT energy (no corrections) does entry 9 give?
-95.3 eV per cell